A relaxed structure of CaPm2Pt, computed with PBE.

POSCAR file:
```
CaPm2Pt
1.0
4.143 0.000 0.000
2.071 3.588 0.000
2.071 1.196 9.544
Pt Pm Ca
1 2 1
Direct
0.000 0.000 0.000
0.278 0.278 0.165
0.722 0.722 0.835
0.500 0.500 0.500
```

Values from the calculation:
The calculation puts the calculated formation energy at -0.509 eV/atom. The calculation puts the volume at 35.46 Å³/atom. Its density of states at the Fermi level is 4.42 states/eV per cell. Its space group is No. 166. Its polymorph energy (0 for the lowest one) is 77 meV per atom.

---

A relaxed structure of SrAl2PW, computed with PBE.

POSCAR file:
```
SrAl2PW
1.0
4.730 0.000 0.000
0.000 5.447 0.000
0.000 0.000 4.730
Al Sr W P
2 1 1 1
Direct
0.500 0.000 0.000
0.000 0.000 0.500
0.000 0.500 0.000
0.500 0.500 0.500
0.000 0.000 0.000
```

Values from the calculation:
The calculation puts the calculated formation energy at 1.030 eV/atom. The calculation puts the volume at 24.37 Å³/atom. Its density of states at the Fermi level is 3.42 states/eV per cell. Its space group is No. 123.